[1]
4
Lattice="4.4907 0.0000 0.0000 0.0000 4.4907 0.0000 0.0000 0.0000 3.0019" Properties=species:S:1:pos:R:3 comment="GGA-PBEsol Tc2WBr, relaxed" e_form_raw_ev_per_atom=0.79 space_group="P4/mmm, No. 123" pbc="T T T"
Tc 0.0000 2.2453 0.0000
Tc 2.2453 0.0000 0.0000
W 0.0000 0.0000 1.5010
Br 2.2453 2.2453 1.5010

=====

[2]
3
Lattice="3.2970 0.0000 0.0000 -1.6485 2.8553 0.0000 0.0000 0.0000 6.0235" Properties=species:S:1:pos:R:3 comment="GGA-PBEsol TcWBr, relaxed" e_form_raw_ev_per_atom=0.48 space_group="P3m1, No. 156" pbc="T T T"
Tc 0.0000 0.0000 0.0000
W 0.0000 1.9035 4.5698
Br 1.6485 0.9518 2.3182

=====

[3]
8
Lattice="2.8872 0.0000 0.0000 0.0000 5.4507 0.0000 0.0000 0.0000 8.9250" Properties=species:S:1:pos:R:3 comment="GGA-PBEsol TcWBr2, relaxed" e_form_raw_ev_per_atom=1.19 space_group="Cmmm, No. 65" pbc="T T T"
Tc 0.0000 0.0000 0.0000
Tc 1.4436 2.7253 0.0000
W 0.0000 0.0000 4.4625
W 1.4436 2.7253 4.4625
Br 0.0000 2.7253 2.1353
Br 0.0000 2.7253 6.7897
Br 1.4436 0.0000 2.1353
Br 1.4436 0.0000 6.7897

=====

[4]
4
Lattice="2.9319 0.0000 0.0000 0.0000 4.4470 0.0000 0.0000 0.0000 4.6126" Properties=species:S:1:pos:R:3 comment="GGA-PBEsol Tc2WBr, relaxed" e_form_raw_ev_per_atom=0.83 space_group="Pmmm, No. 47" pbc="T T T"
Tc 0.0000 0.0000 0.0000
Tc 1.4660 0.0000 2.3063
W 0.0000 2.2235 2.3063
Br 1.4660 2.2235 0.0000

=====

N(E_F) across the listed records, respectively: 2.8, 0.8, 5.0, 3.3 states/eV/f.u..